VASP calculation (GGA-PBE) on a relaxed U3BP2 crystal.

abc: 6.563 6.563 5.461
angles: 90.00 90.00 74.50
Sites, in units of the cell vectors:
1 U 0.126 0.874 0.750
2 U 0.317 0.317 0.000
3 U 0.317 0.317 0.500
4 U 0.683 0.683 0.000
5 U 0.683 0.683 0.500
6 U 0.874 0.126 0.250
7 B 0.425 0.575 0.750
8 B 0.575 0.425 0.250
9 P 0.063 0.680 0.250
10 P 0.320 0.937 0.250
11 P 0.680 0.063 0.750
12 P 0.937 0.320 0.750

E_tot: -8.83 eV per atom
SG: No. 63
Fermi-level density of states: 19.89 states/eV per cell
DFT formation energy: -0.274 eV/atom

***

VASP calculation (GGA-PBE) on a relaxed Ho2Er4TmTh crystal.

abc: 4.982 4.993 9.922
angles: 90.00 90.00 90.00
Sites, in units of the cell vectors:
1 Ho 0.000 0.000 0.000
2 Ho 0.500 0.500 0.500
3 Er 0.000 0.500 0.249
4 Er 0.000 0.500 0.751
5 Er 0.500 0.000 0.249
6 Er 0.500 0.000 0.751
7 Tm 0.000 0.000 0.500
8 Th 0.500 0.500 0.000

E_tot: -4.88 eV per atom
SG: No. 47
Fermi-level density of states: 11.91 states/eV per cell
DFT formation energy: 0.032 eV/atom

***

> Which of these has the highest DFT formation energy?

Ho2Er4TmTh

***

> The highest Fermi-level density of states belongs to which entry?

U3BP2